## Cu4Pd15Pt (PBE-GGA)

Data for an optimized crystal structure of Cu4Pd15Pt.

Cell: 3.893 3.893 19.555 Å, 90.00 90.00 90.00°
Space group P4/mmm (No. 123)
Symmetry-distinct sites (fractional):
1 Cu 0.000 0.000 0.099
2 Cu 0.000 0.000 0.297
3 Pd 0.000 0.500 0.000
4 Pd 0.000 0.500 0.198
5 Pd 0.000 0.500 0.396
6 Pd 0.500 0.500 0.099
7 Pd 0.500 0.500 0.297
8 Pd 0.500 0.500 0.500
9 Pt 0.000 0.000 0.500

Calculated values
- energy of formation (eV/f.u.) = -1.005
- ρ (Mg/m³) = 11.462
- total magnetic moment (μB/cell) = 0.05
- final energy (eV per atom) = -5.07

***

## CuIr2Cl (PBE-GGA)

Data for an optimized crystal structure of CuIr2Cl.

Cell: 2.735 4.873 8.904 Å, 90.00 90.00 90.00°
Space group Immm (No. 71)
Symmetry-distinct sites (fractional):
1 Cu 0.000 0.000 0.000
2 Ir 0.000 0.500 0.243
3 Cl 0.000 0.000 0.500

Calculated values
- ρ (Mg/m³) = 13.529
- uncorrected formation energy (eV/atom) = 0.661
- total magnetic moment (μB/cell) = 0.00
- offset from the most stable computed form (meV per atom) = 380
- final energy (eV per atom) = -5.25

***

## Mg8Zn (PBE-GGA)

Data for an optimized crystal structure of Mg8Zn.

Cell: 9.540 9.540 4.319 Å, 90.00 90.00 90.00°
Space group I4/mmm (No. 139)
Symmetry-distinct sites (fractional):
1 Mg 0.000 0.330 0.000
2 Mg 0.162 0.162 0.500
3 Zn 0.000 0.000 0.000

Calculated values
- energy of formation (eV/f.u.) = -0.030
- ρ (Mg/m³) = 2.195
- total magnetic moment (μB/cell) = 0.00
- final energy (eV per atom) = -1.56